# 1
ZnAsOs2: relaxed, PBE-GGA.

```
ZnAsOs2
1.0
5.739 0.010 0.001
3.556 4.504 -0.001
-4.302 -2.969 2.369
Os As Zn
2 1 1
direct
0.792 0.292 0.500
0.021 0.021 0.000
0.218 0.718 0.500
0.469 0.469 0.000
```

Properties
Total moment ... 0.000 μB/atom
ΔE_f ... 0.417 eV/atom
Total DFT energy (no corrections) ... -6.6786 eV/atom
Symmetry ... Imm2

***

# 2
ZnAs2Os: relaxed, PBE-GGA.

```
ZnAs2Os
1.0
4.404 -0.018 0.479
3.294 2.924 0.479
1.381 0.521 6.037
Os Zn As
1 1 2
direct
0.526 0.526 0.519
0.734 0.734 0.743
0.276 0.276 0.359
0.964 0.964 0.879
```

Properties
Total moment ... 0.000 μB/atom
ΔE_f ... 0.247 eV/atom
Total DFT energy (no corrections) ... -5.2039 eV/atom
Symmetry ... Cm

***

# 3
ZnAsOs2: relaxed, PBE-GGA.

```
ZnAsOs2
1.0
-6.924 -1.870 -4.219
-5.003 -3.463 -5.675
-6.198 -4.496 -3.256
As Os Zn
1 2 1
direct
0.750 0.750 0.750
0.005 0.005 0.005
0.495 0.495 0.495
0.250 0.250 0.250
```

Properties
Total moment ... 0.000 μB/atom
ΔE_f ... 0.377 eV/atom
Total DFT energy (no corrections) ... -6.7189 eV/atom
Symmetry ... R-3m